Version i
LaTlBr2 | the Alexandria database | GGA-PBE | relaxed; spin magnetization = 0.00 μB per cell; theoretical density = 6.327 g/cm³
1.0
-0.344 1.045 4.865
-4.034 -0.305 -0.219
-0.036 -6.404 1.373
Br La Tl
2 1 1
Direct
0.000 0.064 0.012
0.000 0.436 0.488
0.500 0.250 0.250
0.500 0.750 0.750


Version ii
LaTlBr2 | the Alexandria database | GGA-PBE | relaxed; spin magnetization = 1.39 μB per cell; theoretical density = 7.160 g/cm³
1.0
0.000 3.878 3.878
3.878 0.000 3.878
3.878 3.878 0.000
La Tl Br
1 1 2
Direct
0.000 0.000 0.000
0.500 0.500 0.500
0.250 0.250 0.250
0.750 0.750 0.750


Version iii
LaTlBr2 | the Alexandria database | GGA-PBE | relaxed; spin magnetization = 1.54 μB per cell; theoretical density = 6.848 g/cm³
1.0
-5.261 0.850 -1.611
-1.693 -1.742 -5.009
-3.514 -4.298 -0.411
Br Tl La
2 1 1
Direct
0.000 0.000 0.000
0.250 0.250 0.250
0.750 0.750 0.750
0.500 0.500 0.500


What should be chosen as the least stable of them? Choose version iii.


Version i
LaTlBr2 | the Alexandria database | GGA-PBE | relaxed; spin magnetization = 0.00 μB per cell; theoretical density = 6.033 g/cm³
1.0
3.824 0.016 0.000
-1.700 3.425 0.000
0.000 0.000 10.551
Br La Tl
2 1 1
Direct
0.000 0.000 0.037
0.000 0.000 0.463
0.500 0.500 0.250
0.500 0.500 0.750


Version ii
LaTlBr2 | the Alexandria database | GGA-PBE | relaxed; spin magnetization = 0.00 μB per cell; theoretical density = 6.276 g/cm³
1.0
-0.419 4.124 0.728
-2.218 0.402 -3.555
-6.343 -1.317 3.808
Tl La Br
1 1 2
Direct
0.500 0.500 0.737
0.000 0.000 0.415
0.500 0.500 0.315
0.000 0.000 0.032


What should be chosen as the least stable of them? Choose version i.


Version i
LaTlBr2 | the Alexandria database | GGA-PBE | relaxed; spin magnetization = 0.00 μB per cell; theoretical density = 7.205 g/cm³
1.0
5.857 -0.004 0.000
1.634 5.625 0.000
-3.746 -2.810 3.519
Br La Tl
2 1 1
Direct
0.000 0.000 0.000
0.500 0.500 0.000
0.250 0.750 0.500
0.750 0.250 0.500


Version ii
LaTlBr2 | the Alexandria database | GGA-PBE | relaxed; spin magnetization = 0.00 μB per cell; theoretical density = 7.055 g/cm³
1.0
-4.039 -0.687 0.521
1.006 -5.873 0.053
0.591 0.144 4.773
Br La Tl
2 1 1
Direct
0.000 0.000 0.000
0.500 0.500 0.000
0.500 0.000 0.500
0.000 0.500 0.500


What should be chosen as the least stable of them? Choose version i.


Version i
LaTlBr2 | the Alexandria database | GGA-PBE | relaxed; spin magnetization = 0.00 μB per cell; theoretical density = 7.214 g/cm³
1.0
5.025 0.000 0.000
0.000 5.025 0.000
0.000 0.000 4.587
La Br Tl
1 2 1
Direct
0.500 0.000 0.500
0.500 0.500 0.000
0.000 0.000 0.000
0.000 0.500 0.500


Version ii
LaTlBr2 | the Alexandria database | GGA-PBE | relaxed; spin magnetization = 0.00 μB per cell; theoretical density = 5.908 g/cm³
1.0
-2.779 10.809 0.456
-2.546 10.019 4.230
0.642 10.923 2.245
La Tl Br
1 1 2
Direct
0.500 0.500 0.500
0.000 0.000 0.000
0.103 0.103 0.103
0.897 0.897 0.897


What should be chosen as the least stable of them? Choose version i.


Version i
LaTlBr2 | the Alexandria database | GGA-PBE | relaxed; spin magnetization = 0.00 μB per cell; theoretical density = 6.698 g/cm³
1.0
-4.258 -2.084 -5.350
-4.045 -5.883 -0.358
1.775 5.845 3.712
La Br Tl
1 2 1
Direct
0.533 0.533 0.000
0.988 0.988 0.000
0.711 0.211 0.500
0.268 0.768 0.500


Version ii
LaTlBr2 | the Alexandria database | GGA-PBE | relaxed; spin magnetization = 0.00 μB per cell; theoretical density = 6.031 g/cm³
1.0
-2.759 -3.567 -2.639
4.351 -2.785 -0.783
-0.899 -8.247 6.914
Tl Br La
2 4 2
Direct
0.750 0.250 0.500
0.000 0.000 0.000
0.875 0.843 0.750
0.593 0.125 0.250
0.157 0.625 0.250
0.375 0.407 0.750
0.250 0.750 0.500
0.500 0.500 0.000


What should be chosen as the least stable of them? Choose version ii.


Version i
LaTl2Br | the Alexandria database | GGA-PBE | relaxed; spin magnetization = 0.00 μB per cell; theoretical density = 7.921 g/cm³
1.0
-2.524 2.161 -1.533
-1.974 -2.946 -0.902
-4.742 0.550 8.587
La Tl Br
1 2 1
Direct
0.500 0.500 0.748
0.000 0.000 0.975
0.500 0.500 0.215
0.000 0.000 0.562


Version ii
LaTl2Br | the Alexandria database | GGA-PBE | relaxed; spin magnetization = 0.00 μB per cell; theoretical density = 8.172 g/cm³
1.0
6.791 0.019 0.017
3.253 5.962 -0.017
-4.305 -4.195 3.161
La Tl Br
1 2 1
Direct
0.270 0.770 0.500
0.749 0.249 0.500
0.008 0.008 0.000
0.474 0.474 0.000


Version iii
LaTl2Br | the Alexandria database | GGA-PBE | relaxed; spin magnetization = 0.00 μB per cell; theoretical density = 7.413 g/cm³
1.0
-0.816 -10.046 2.933
3.137 -9.573 2.948
0.989 -8.475 6.115
Br La Tl
1 1 2
Direct
0.484 0.484 0.484
0.751 0.751 0.751
0.259 0.259 0.259
0.005 0.005 0.005


What should be chosen as the least stable of them? Choose version ii.


Version i
LaTl2Br | the Alexandria database | GGA-PBE | relaxed; spin magnetization = 0.00 μB per cell; theoretical density = 8.868 g/cm³
1.0
6.749 -0.001 0.000
3.837 5.553 0.000
-5.293 -2.776 3.135
La Tl Br
1 2 1
Direct
0.750 0.250 0.500
0.500 0.500 0.000
0.000 0.000 0.000
0.250 0.750 0.500


Version ii
LaTl2Br | the Alexandria database | GGA-PBE | relaxed; spin magnetization = 0.00 μB per cell; theoretical density = 8.717 g/cm³
1.0
3.768 0.000 0.000
0.000 5.228 0.000
0.000 0.000 6.069
Tl La Br
2 1 1
Direct
0.000 0.000 0.000
0.500 0.500 0.000
0.000 0.500 0.500
0.500 0.000 0.500


Version iii
LaTl2Br | the Alexandria database | GGA-PBE | relaxed; spin magnetization = 0.00 μB per cell; theoretical density = 6.983 g/cm³
1.0
10.095 0.000 0.000
0.000 10.095 0.000
5.047 5.047 2.929
La Br Tl
2 2 4
Direct
0.000 0.000 0.000
0.750 0.250 0.500
0.500 0.500 0.000
0.250 0.750 0.500
0.672 0.125 0.250
0.078 0.625 0.250
0.875 0.922 0.750
0.375 0.328 0.750


Version iv
LaTl2Br | the Alexandria database | GGA-PBE | relaxed; spin magnetization = 0.00 μB per cell; theoretical density = 8.293 g/cm³
1.0
0.000 3.976 3.976
3.976 0.000 3.976
3.976 3.976 0.000
Tl La Br
2 1 1
Direct
0.750 0.750 0.750
0.250 0.250 0.250
0.500 0.500 0.500
0.000 0.000 0.000


What should be chosen as the least stable of them? Choose version iv.


Version i
LaTl2Br | the Alexandria database | GGA-PBE | relaxed; spin magnetization = 0.00 μB per cell; theoretical density = 8.438 g/cm³
1.0
-5.240 -1.315 -1.867
-2.690 -2.660 -4.285
-0.698 -5.670 2.417
Br Tl La
1 2 1
Direct
0.514 0.514 0.443
0.998 0.998 0.974
0.742 0.742 0.786
0.246 0.246 0.297


Version ii
LaTl2Br | the Alexandria database | GGA-PBE | relaxed; spin magnetization = 0.00 μB per cell; theoretical density = 7.700 g/cm³
1.0
6.130 0.000 0.000
0.000 3.940 -0.294
0.000 0.415 5.573
Br Tl La
1 2 1
Direct
0.000 0.625 0.595
0.500 0.124 0.170
0.000 0.126 0.064
0.500 0.625 0.671


What should be chosen as the least stable of them? Choose version ii.


Version i
LaTl2Br | the Alexandria database | GGA-PBE | relaxed; spin magnetization = 0.00 μB per cell; theoretical density = 8.121 g/cm³
1.0
-1.424 3.392 -0.801
-1.674 -2.002 2.714
6.188 4.238 6.942
La Tl Br
1 2 1
Direct
0.500 0.500 0.750
0.000 0.000 0.017
0.000 0.000 0.483
0.500 0.500 0.250


Version ii
LaTl2Br | the Alexandria database | GGA-PBE | relaxed; spin magnetization = 0.00 μB per cell; theoretical density = 8.128 g/cm³
1.0
7.657 -0.014 -0.010
6.742 3.632 -0.010
1.531 0.385 4.593
Tl Br La
2 1 1
Direct
0.541 0.541 0.460
0.959 0.959 0.040
0.750 0.750 0.750
0.250 0.250 0.250


Version iii
LaTl2Br | the Alexandria database | GGA-PBE | relaxed; spin magnetization = 0.00 μB per cell; theoretical density = 8.132 g/cm³
1.0
-4.656 3.602 -8.483
-1.616 1.856 -10.027
-4.753 -0.166 -9.164
Br La Tl
1 1 2
Direct
0.250 0.250 0.250
0.750 0.750 0.750
0.995 0.995 0.995
0.505 0.505 0.505


What should be chosen as the least stable of them? Choose version i.


Version i
LaTl3Br | the Alexandria database | GGA-PBE | relaxed; spin magnetization = 0.00 μB per cell; theoretical density = 5.407 g/cm³
1.0
-1.466 -0.570 -6.147
-1.677 -6.044 0.960
-5.942 1.846 1.246
Br Tl La
1 3 1
Direct
0.500 0.500 0.500
0.000 0.500 0.000
0.000 0.000 0.500
0.500 0.000 0.000
0.000 0.000 0.000


Version ii
LaTl3Br | the Alexandria database | GGA-PBE | relaxed; spin magnetization = 0.00 μB per cell; theoretical density = 7.072 g/cm³
1.0
-3.957 2.373 3.518
-3.669 0.504 -4.467
-2.133 -5.271 1.157
Tl Br La
3 1 1
Direct
0.000 0.500 0.000
0.000 0.000 0.500
0.500 0.000 0.000
0.000 0.000 0.000
0.500 0.500 0.500


What should be chosen as the least stable of them? Choose version i.


Version i
LaUBr6 | the Alexandria database | GGA-PBE | relaxed; spin magnetization = 3.23 μB per cell; theoretical density = 4.277 g/cm³
1.0
-0.551 5.078 -5.417
-4.874 -5.602 0.541
-2.578 4.091 5.463
Br La U
6 1 1
Direct
0.246 0.246 0.743
0.894 0.593 0.750
0.593 0.894 0.750
0.106 0.407 0.250
0.754 0.754 0.257
0.407 0.106 0.250
0.000 0.000 0.000
0.500 0.500 0.500


Version ii
LaUBr6 | the Alexandria database | GGA-PBE | relaxed; spin magnetization = 3.22 μB per cell; theoretical density = 4.581 g/cm³
1.0
-4.068 -4.989 -3.417
3.197 -5.243 -3.925
-0.044 -7.357 3.022
U Br La
1 6 1
Direct
0.000 0.000 0.000
0.753 0.088 0.751
0.088 0.408 0.751
0.592 0.247 0.249
0.408 0.753 0.751
0.247 0.912 0.249
0.912 0.592 0.249
0.500 0.500 0.500


What should be chosen as the least stable of them? Choose version ii.


Version i
LaV2Br | the Alexandria database | GGA-PBE | relaxed; spin magnetization = 0.01 μB per cell; theoretical density = 7.238 g/cm³
1.0
0.000 3.326 3.326
3.326 0.000 3.326
3.326 3.326 0.000
La V Br
1 2 1
Direct
0.500 0.500 0.500
0.250 0.250 0.250
0.750 0.750 0.750
0.000 0.000 0.000


Version ii
LaV2Br | the Alexandria database | GGA-PBE | relaxed; spin magnetization = 0.00 μB per cell; theoretical density = 5.881 g/cm³
1.0
5.763 0.000 0.000
0.000 5.763 0.000
2.881 2.881 5.453
Br La V
2 2 4
Direct
0.500 0.500 0.000
0.250 0.750 0.500
0.000 0.000 0.000
0.750 0.250 0.500
0.375 0.369 0.750
0.631 0.125 0.250
0.119 0.625 0.250
0.875 0.881 0.750


What should be chosen as the least stable of them? Choose version ii.